# 1
# GGA-PBE LiLaGe2Pd2, relaxed
# E, eV per cell: -31.27
# Fermi-level density of states, states/eV per atom: 0.296
data_LiLaGe2Pd2
_chemical_formula_sum 'Li1 La1 Ge2 Pd2'
_cell_length_a 4.320
_cell_length_b 4.320
_cell_length_c 7.001
_cell_angle_alpha 90.00
_cell_angle_beta 90.00
_cell_angle_gamma 120.00
_space_group_name_H-M_alt 'P 1'
_space_group_IT_number 1
loop_
_space_group_symop_operation_xyz
'x,y,z'
loop_
_atom_site_label
_atom_site_type_symbol
_atom_site_fract_x
_atom_site_fract_y
_atom_site_fract_z
Li1 Li 0.000 0.000 0.500
La1 La 0.000 0.000 0.000
Ge1 Ge 0.333 0.667 0.276
Ge2 Ge 0.667 0.333 0.724
Pd1 Pd 0.333 0.667 0.639
Pd2 Pd 0.667 0.333 0.361

# 2
# GGA-PBE Li2LaGePd, relaxed
# Fermi-level density of states, states/eV per atom: 0.602
# E above lowest polymorph, meV/atom: 1543
data_Li2LaGePd
_chemical_formula_sum 'Li2 La1 Ge1 Pd1'
_cell_length_a 5.307
_cell_length_b 5.253
_cell_length_c 5.307
_cell_angle_alpha 90.00
_cell_angle_beta 90.00
_cell_angle_gamma 90.00
_space_group_name_H-M_alt 'P 1'
_space_group_IT_number 1
loop_
_space_group_symop_operation_xyz
'x,y,z'
loop_
_atom_site_label
_atom_site_type_symbol
_atom_site_fract_x
_atom_site_fract_y
_atom_site_fract_z
Ge1 Ge 0.000 0.500 0.000
Li1 Li 0.000 0.000 0.500
Li2 Li 0.500 0.000 0.000
Pd1 Pd 0.500 0.500 0.500
La1 La 0.000 0.000 0.000

# 3
# GGA-PBE Li2LaPr2Ge2, relaxed
# E, eV per cell: -30.99
# Fermi-level density of states, states/eV per atom: 0.735
data_Li2LaPr2Ge2
_chemical_formula_sum 'Li2 La1 Pr2 Ge2'
_cell_length_a 4.608
_cell_length_b 4.608
_cell_length_c 9.821
_cell_angle_alpha 76.43
_cell_angle_beta 76.43
_cell_angle_gamma 60.00
_space_group_name_H-M_alt 'P 1'
_space_group_IT_number 1
loop_
_space_group_symop_operation_xyz
'x,y,z'
loop_
_atom_site_label
_atom_site_type_symbol
_atom_site_fract_x
_atom_site_fract_y
_atom_site_fract_z
Li1 Li 0.598 0.598 0.207
Li2 Li 0.402 0.402 0.793
La1 La 0.000 0.000 0.000
Pr1 Pr 0.128 0.128 0.617
Pr2 Pr 0.872 0.872 0.383
Ge1 Ge 0.737 0.737 0.789
Ge2 Ge 0.263 0.263 0.211

# 4
# GGA-PBE Li2La2PrGe2, relaxed
# E, eV per cell: -31.23
# Fermi-level density of states, states/eV per atom: 0.547
data_Li2La2PrGe2
_chemical_formula_sum 'Li2 La2 Pr1 Ge2'
_cell_length_a 4.583
_cell_length_b 4.583
_cell_length_c 9.616
_cell_angle_alpha 76.22
_cell_angle_beta 76.22
_cell_angle_gamma 60.00
_space_group_name_H-M_alt 'P 1'
_space_group_IT_number 1
loop_
_space_group_symop_operation_xyz
'x,y,z'
loop_
_atom_site_label
_atom_site_type_symbol
_atom_site_fract_x
_atom_site_fract_y
_atom_site_fract_z
Li1 Li 0.597 0.597 0.208
Li2 Li 0.403 0.403 0.792
La1 La 0.133 0.133 0.601
La2 La 0.867 0.867 0.399
Pr1 Pr 0.000 0.000 0.000
Ge1 Ge 0.736 0.736 0.793
Ge2 Ge 0.264 0.264 0.207

# 5
# GGA-PBE LiLa2Ge7Pt2, relaxed
# E, eV per cell: -62.31
# Fermi-level density of states, states/eV per atom: 0.505
data_LiLa2Ge7Pt2
_chemical_formula_sum 'Li1 La2 Ge7 Pt2'
_cell_length_a 4.251
_cell_length_b 4.251
_cell_length_c 13.849
_cell_angle_alpha 85.79
_cell_angle_beta 85.79
_cell_angle_gamma 89.92
_space_group_name_H-M_alt 'P 1'
_space_group_IT_number 1
loop_
_space_group_symop_operation_xyz
'x,y,z'
loop_
_atom_site_label
_atom_site_type_symbol
_atom_site_fract_x
_atom_site_fract_y
_atom_site_fract_z
Li1 Li 0.000 0.000 0.000
La1 La 0.900 0.900 0.347
La2 La 0.100 0.100 0.653
Ge1 Ge 0.500 0.500 0.000
Ge2 Ge 0.338 0.338 0.451
Ge3 Ge 0.662 0.662 0.549
Ge4 Ge 0.951 0.420 0.153
Ge5 Ge 0.420 0.951 0.153
Ge6 Ge 0.580 0.049 0.847
Ge7 Ge 0.049 0.580 0.847
Pt1 Pt 0.566 0.566 0.728
Pt2 Pt 0.434 0.434 0.272

# 6
# GGA-PBE LiLa2Ge4Pt3, relaxed
# E, eV per cell: -57.58
# Fermi-level density of states, states/eV per atom: 0.587
data_LiLa2Ge4Pt3
_chemical_formula_sum 'Li1 La2 Ge4 Pt3'
_cell_length_a 4.394
_cell_length_b 4.394
_cell_length_c 10.239
_cell_angle_alpha 90.00
_cell_angle_beta 90.00
_cell_angle_gamma 90.00
_space_group_name_H-M_alt 'P 1'
_space_group_IT_number 1
loop_
_space_group_symop_operation_xyz
'x,y,z'
loop_
_atom_site_label
_atom_site_type_symbol
_atom_site_fract_x
_atom_site_fract_y
_atom_site_fract_z
Li1 Li 0.500 0.500 0.500
La1 La 0.500 0.000 0.251
La2 La 0.000 0.500 0.749
Ge1 Ge 0.500 0.500 0.000
Ge2 Ge 0.000 0.000 0.000
Ge3 Ge 0.500 0.000 0.631
Ge4 Ge 0.000 0.500 0.369
Pt1 Pt 0.000 0.000 0.500
Pt2 Pt 0.500 0.000 0.876
Pt3 Pt 0.000 0.500 0.124